[1]
Here is a geometry-optimized YEr2Tl3AgPt2 structure from the Open Quantum Materials Database. Energies are from PBE.

Lattice parameters (Å, degrees): 3.745 7.927 7.927 120.23 90.00 90.00
Element x y z (fractional)
Pt1 0.500 0.331 0.667
Er1 0.000 0.000 0.410
Pt2 0.500 0.667 0.331
Tl1 0.500 0.729 0.000
Er2 0.000 0.410 0.000
Y1 0.000 0.591 0.591
Tl2 0.500 0.271 0.271
Ag1 0.000 0.001 0.001
Tl3 0.500 0.000 0.729

ρ: 12.5 g/cm3
DFT total energy: -4.836 eV/atom
Total moment: 0.032 μB per formula unit

---

[2]
Here is a geometry-optimized RbErAg structure from the Open Quantum Materials Database. Energies are from PBE.

Lattice parameters (Å, degrees): 5.336 5.336 5.336 60.00 60.00 60.00
Element x y z (fractional)
Er1 0.000 0.000 0.000
Ag1 0.250 0.250 0.250
Rb1 0.750 0.750 0.750

ρ: 5.6 g/cm3
DFT total energy: -1.989 eV/atom
Total moment: 0.021 μB per formula unit